## a
# Dy8Tm6Mg (GGA-PBE, relaxed)
data_Dy8Tm6Mg
_chemical_formula_sum 'Dy8 Tm6 Mg1'
_cell_length_a 9.3231
_cell_length_b 9.3231
_cell_length_c 6.1815
_cell_angle_alpha 90.00
_cell_angle_beta 90.00
_cell_angle_gamma 120.00
_symmetry_space_group_name_H-M 'P -3'
_symmetry_Int_Tables_number 147
loop_
_symmetry_equiv_pos_as_xyz
'x,y,z'
'-x,-y,-z'
'-y,x-y,z'
'y,-x+y,-z'
'-x+y,-x,z'
'x-y,x,-z'
loop_
_atom_site_label
_atom_site_type_symbol
_atom_site_fract_x
_atom_site_fract_y
_atom_site_fract_z
Dy1 Dy 0.0394 0.7692 0.1871
Dy2 Dy 0.3333 0.6667 0.1885
Tm1 Tm 0.0933 0.6396 0.6857
Mg1 Mg 0.0000 0.0000 0.5000
# Magnetic moment   0.00 μB/atom
# Volume   31.0 Å³ per atom



## b
# Dy8Tm6Mg (GGA-PBE, relaxed)
data_Dy8Tm6Mg
_chemical_formula_sum 'Dy24 Tm18 Mg3'
_cell_length_a 8.9128
_cell_length_b 8.9128
_cell_length_c 20.2014
_cell_angle_alpha 90.00
_cell_angle_beta 90.00
_cell_angle_gamma 120.00
_symmetry_space_group_name_H-M 'R -3'
_symmetry_Int_Tables_number 148
_symmetry_space_group_name_Hall '-R 3'
loop_
_atom_site_label
_atom_site_type_symbol
_atom_site_fract_x
_atom_site_fract_y
_atom_site_fract_z
Dy1 Dy 0.0000 0.0000 0.0760
Dy2 Dy 0.0821 0.5255 0.3099
Tm1 Tm 0.0629 0.8113 0.2045
Mg1 Mg 0.0000 0.0000 0.5000
# Magnetic moment   0.00 μB/atom
# Volume   30.9 Å³ per atom



It comes down to b, which is 0.047 eV/atom more stable than the next structure.



## a
# DyTm2Mg6 (GGA-PBE, relaxed)
data_DyTm2Mg6
_chemical_formula_sum 'Dy2 Tm4 Mg12'
_cell_length_a 3.285
_cell_length_b 9.019
_cell_length_c 15.834
_cell_angle_alpha 90.00
_cell_angle_beta 90.00
_cell_angle_gamma 90.00
_symmetry_space_group_name_H-M 'I m m m'
_symmetry_Int_Tables_number 71
_symmetry_space_group_name_Hall '-I 2 2'
loop_
_atom_site_label
_atom_site_type_symbol
_atom_site_fract_x
_atom_site_fract_y
_atom_site_fract_z
Dy1 Dy 0.000 0.000 0.000
Tm1 Tm 0.000 0.500 0.152
Mg1 Mg 0.000 0.172 0.500
Mg2 Mg 0.000 0.327 0.332
# Magnetic moment   0.00 μB/atom
# Volume   26.1 Å³ per atom



## b
# DyTm2Mg6 (GGA-PBE, relaxed)
data_DyTm2Mg6
_chemical_formula_sum 'Dy1 Tm2 Mg6'
_cell_length_a 9.0305
_cell_length_b 9.0305
_cell_length_c 3.2606
_cell_angle_alpha 90.00
_cell_angle_beta 90.00
_cell_angle_gamma 120.00
_symmetry_space_group_name_H-M 'P 6/m m m'
_symmetry_Int_Tables_number 191
_symmetry_space_group_name_Hall '-P 6 2'
loop_
_atom_site_label
_atom_site_type_symbol
_atom_site_fract_x
_atom_site_fract_y
_atom_site_fract_z
Dy1 Dy 0.0000 0.0000 0.0000
Tm1 Tm 0.3333 0.6667 0.0000
Mg1 Mg 0.0000 0.3349 0.5000
# Magnetic moment   0.00 μB/atom
# Volume   25.6 Å³ per atom



It comes down to b, which is 0.055 eV/atom more stable than the next structure.



## a
# Dy4TmMg2 (GGA-PBE, relaxed)
data_Dy4TmMg2
_chemical_formula_sum 'Dy12 Tm3 Mg6'
_cell_length_a 5.4134
_cell_length_b 5.4134
_cell_length_c 23.8830
_cell_angle_alpha 90.00
_cell_angle_beta 90.00
_cell_angle_gamma 120.00
_symmetry_space_group_name_H-M 'R -3 m'
_symmetry_Int_Tables_number 166
_symmetry_space_group_name_Hall '-R 3 2"'
loop_
_atom_site_label
_atom_site_type_symbol
_atom_site_fract_x
_atom_site_fract_y
_atom_site_fract_z
Dy1 Dy 0.0000 0.0000 0.0737
Dy2 Dy 0.0000 0.0000 0.3458
Tm1 Tm 0.0000 0.0000 0.5000
Mg1 Mg 0.0000 0.0000 0.2108
# Magnetic moment   0.00 μB/atom
# Volume   28.9 Å³ per atom



## b
# Dy4TmMg2 (GGA-PBE, relaxed)
data_Dy4TmMg2
_chemical_formula_sum 'Dy12 Tm3 Mg6'
_cell_length_a 5.4244
_cell_length_b 5.4244
_cell_length_c 24.0181
_cell_angle_alpha 90.00
_cell_angle_beta 90.00
_cell_angle_gamma 120.00
_symmetry_space_group_name_H-M 'R -3 m'
_symmetry_Int_Tables_number 166
_symmetry_space_group_name_Hall '-R 3 2"'
loop_
_atom_site_label
_atom_site_type_symbol
_atom_site_fract_x
_atom_site_fract_y
_atom_site_fract_z
Dy1 Dy 0.0000 0.0000 0.0682
Dy2 Dy 0.0000 0.0000 0.2067
Tm1 Tm 0.0000 0.0000 0.5000
Mg1 Mg 0.0000 0.0000 0.3512
# Magnetic moment   0.00 μB/atom
# Volume   29.1 Å³ per atom



It comes down to a, which is 0.079 eV/atom more stable than the next structure.



## a
# Dy2Tm5Mg (GGA-PBE, relaxed)
data_Dy2Tm5Mg
_chemical_formula_sum 'Dy4 Tm10 Mg2'
_cell_length_a 13.929
_cell_length_b 9.720
_cell_length_c 3.495
_cell_angle_alpha 90.00
_cell_angle_beta 90.11
_cell_angle_gamma 90.00
_symmetry_space_group_name_H-M 'C 1 2/m 1'
_symmetry_Int_Tables_number 12
loop_
_symmetry_equiv_pos_as_xyz
'x,y,z'
'-x,-y,-z'
'-x,y,-z'
'x,-y,z'
'x+1/2,y+1/2,z'
'-x+1/2,-y+1/2,-z'
'-x+1/2,y+1/2,-z'
'x+1/2,-y+1/2,z'
loop_
_atom_site_label
_atom_site_type_symbol
_atom_site_fract_x
_atom_site_fract_y
_atom_site_fract_z
Dy1 Dy 0.244 0.000 0.000
Tm1 Tm 0.000 0.000 0.000
Tm2 Tm 0.124 0.255 0.500
Mg1 Mg 0.000 0.500 0.000
# Magnetic moment   0.00 μB/atom
# Volume   29.6 Å³ per atom



## b
# Dy2Tm5Mg (GGA-PBE, relaxed)
data_Dy2Tm5Mg
_chemical_formula_sum 'Dy4 Tm10 Mg2'
_cell_length_a 6.924
_cell_length_b 6.924
_cell_length_c 9.870
_cell_angle_alpha 90.00
_cell_angle_beta 90.00
_cell_angle_gamma 90.00
_symmetry_space_group_name_H-M 'I 4/m m m'
_symmetry_Int_Tables_number 139
_symmetry_space_group_name_Hall '-I 4 2'
loop_
_atom_site_label
_atom_site_type_symbol
_atom_site_fract_x
_atom_site_fract_y
_atom_site_fract_z
Dy1 Dy 0.000 0.500 0.000
Tm1 Tm 0.000 0.000 0.000
Tm2 Tm 0.250 0.250 0.250
Mg1 Mg 0.000 0.000 0.500
# Magnetic moment   0.00 μB/atom
# Volume   29.6 Å³ per atom



It comes down to a, which is 0.006 eV/atom more stable than the next structure.



## a
# Dy12Tm7Mg (GGA-PBE, relaxed)
data_Dy12Tm7Mg
_chemical_formula_sum 'Dy36 Tm21 Mg3'
_cell_length_a 14.7829
_cell_length_b 14.7829
_cell_length_c 9.9208
_cell_angle_alpha 90.00
_cell_angle_beta 90.00
_cell_angle_gamma 120.00
_symmetry_space_group_name_H-M 'R -3'
_symmetry_Int_Tables_number 148
_symmetry_space_group_name_Hall '-R 3'
loop_
_atom_site_label
_atom_site_type_symbol
_atom_site_fract_x
_atom_site_fract_y
_atom_site_fract_z
Dy1 Dy 0.0396 0.2514 0.0730
Dy2 Dy 0.0451 0.1913 0.7526
Tm1 Tm 0.0000 0.0000 0.0000
Tm2 Tm 0.0685 0.2441 0.4286
Mg1 Mg 0.0000 0.0000 0.5000
# Magnetic moment   0.00 μB/atom
# Volume   31.3 Å³ per atom



## b
# Dy12Tm7Mg (GGA-PBE, relaxed)
data_Dy12Tm7Mg
_chemical_formula_sum 'Dy24 Tm14 Mg2'
_cell_length_a 11.888
_cell_length_b 11.888
_cell_length_c 11.888
_cell_angle_alpha 90.00
_cell_angle_beta 90.00
_cell_angle_gamma 90.00
_symmetry_space_group_name_H-M 'I m -3'
_symmetry_Int_Tables_number 204
_symmetry_space_group_name_Hall '-I 2 2 3'
loop_
_atom_site_label
_atom_site_type_symbol
_atom_site_fract_x
_atom_site_fract_y
_atom_site_fract_z
Dy1 Dy 0.000 0.260 0.355
Tm1 Tm 0.000 0.000 0.500
Tm2 Tm 0.250 0.250 0.250
Mg1 Mg 0.000 0.000 0.000
# Magnetic moment   0.00 μB/atom
# Volume   42.0 Å³ per atom



It comes down to a, which is 0.661 eV/atom more stable than the next structure.



## a
# Dy4Tm7Mg (GGA-PBE, relaxed)
data_Dy4Tm7Mg
_chemical_formula_sum 'Dy4 Tm7 Mg1'
_cell_length_a 5.818
_cell_length_b 6.839
_cell_length_c 9.815
_cell_angle_alpha 110.34
_cell_angle_beta 91.30
_cell_angle_gamma 90.15
_symmetry_space_group_name_H-M 'P -1'
_symmetry_Int_Tables_number 2
loop_
_symmetry_equiv_pos_as_xyz
'x,y,z'
'-x,-y,-z'
loop_
_atom_site_label
_atom_site_type_symbol
_atom_site_fract_x
_atom_site_fract_y
_atom_site_fract_z
Dy1 Dy 0.240 0.404 0.268
Dy2 Dy 0.252 0.813 0.631
Tm1 Tm 0.241 0.864 0.264
Tm2 Tm 0.251 0.457 0.915
Tm3 Tm 0.257 0.279 0.568
Tm4 Tm 0.500 0.000 0.000
Mg1 Mg 0.000 0.000 0.000
# Magnetic moment   0.00 μB/atom
# Volume   30.5 Å³ per atom



## b
# Dy4Tm7Mg (GGA-PBE, relaxed)
data_Dy4Tm7Mg
_chemical_formula_sum 'Dy4 Tm7 Mg1'
_cell_length_a 3.5028
_cell_length_b 3.5028
_cell_length_c 33.9120
_cell_angle_alpha 90.00
_cell_angle_beta 90.00
_cell_angle_gamma 120.00
_symmetry_space_group_name_H-M 'P -3 m 1'
_symmetry_Int_Tables_number 164
_symmetry_space_group_name_Hall '-P 3 2"'
loop_
_atom_site_label
_atom_site_type_symbol
_atom_site_fract_x
_atom_site_fract_y
_atom_site_fract_z
Dy1 Dy 0.3333 0.6667 0.1623
Dy2 Dy 0.3333 0.6667 0.4153
Tm1 Tm 0.0000 0.0000 0.2469
Tm2 Tm 0.0000 0.0000 0.5000
Tm3 Tm 0.3333 0.6667 0.6693
Tm4 Tm 0.3333 0.6667 0.9217
Mg1 Mg 0.0000 0.0000 0.0000
# Magnetic moment   0.00 μB/atom
# Volume   30.0 Å³ per atom



It comes down to b, which is 0.089 eV/atom more stable than the next structure.



## a
# Dy4Tm2Mg (GGA-PBE, relaxed)
data_Dy4Tm2Mg
_chemical_formula_sum 'Dy8 Tm4 Mg2'
_cell_length_a 5.913
_cell_length_b 6.523
_cell_length_c 11.392
_cell_angle_alpha 90.00
_cell_angle_beta 105.06
_cell_angle_gamma 90.00
_symmetry_space_group_name_H-M 'P 1 21/m 1'
_symmetry_Int_Tables_number 11
loop_
_symmetry_equiv_pos_as_xyz
'x,y,z'
'-x,-y,-z'
'-x,y+1/2,-z'
'x,-y+1/2,z'
loop_
_atom_site_label
_atom_site_type_symbol
_atom_site_fract_x
_atom_site_fract_y
_atom_site_fract_z
Dy1 Dy 0.020 0.250 0.374
Dy2 Dy 0.154 0.250 0.940
Dy3 Dy 0.360 0.002 0.213
Tm1 Tm 0.272 0.750 0.923
Tm2 Tm 0.402 0.750 0.495
Mg1 Mg 0.146 0.250 0.664
# Magnetic moment   0.00 μB/atom
# Volume   30.3 Å³ per atom



## b
# Dy4Tm2Mg (GGA-PBE, relaxed)
data_Dy4Tm2Mg
_chemical_formula_sum 'Dy4 Tm2 Mg1'
_cell_length_a 5.857
_cell_length_b 3.583
_cell_length_c 10.673
_cell_angle_alpha 90.00
_cell_angle_beta 99.19
_cell_angle_gamma 90.00
_symmetry_space_group_name_H-M 'P 1 2/m 1'
_symmetry_Int_Tables_number 10
loop_
_symmetry_equiv_pos_as_xyz
'x,y,z'
'-x,-y,-z'
'-x,y,-z'
'x,-y,z'
loop_
_atom_site_label
_atom_site_type_symbol
_atom_site_fract_x
_atom_site_fract_y
_atom_site_fract_z
Dy1 Dy 0.056 0.000 0.203
Dy2 Dy 0.427 0.500 0.749
Tm1 Tm 0.000 0.500 0.500
Tm2 Tm 0.500 0.000 0.500
Mg1 Mg 0.500 0.000 0.000
# Magnetic moment   0.00 μB/atom
# Volume   31.6 Å³ per atom



It comes down to a, which is 0.030 eV/atom more stable than the next structure.



## a
# DyTm2Mg4 (GGA-PBE, relaxed)
data_DyTm2Mg4
_chemical_formula_sum 'Dy2 Tm4 Mg8'
_cell_length_a 9.845
_cell_length_b 11.024
_cell_length_c 3.543
_cell_angle_alpha 90.00
_cell_angle_beta 90.00
_cell_angle_gamma 90.00
_symmetry_space_group_name_H-M 'C m m m'
_symmetry_Int_Tables_number 65
_symmetry_space_group_name_Hall '-C 2 2'
loop_
_atom_site_label
_atom_site_type_symbol
_atom_site_fract_x
_atom_site_fract_y
_atom_site_fract_z
Dy1 Dy 0.000 0.000 0.000
Tm1 Tm 0.195 0.500 0.500
Mg1 Mg 0.000 0.254 0.500
Mg2 Mg 0.250 0.250 0.000
# Magnetic moment   0.00 μB/atom
# Volume   27.5 Å³ per atom



## b
# DyTm2Mg4 (GGA-PBE, relaxed)
data_DyTm2Mg4
_chemical_formula_sum 'Dy2 Tm4 Mg8'
_cell_length_a 5.935
_cell_length_b 12.890
_cell_length_c 5.408
_cell_angle_alpha 90.00
_cell_angle_beta 90.00
_cell_angle_gamma 90.00
_symmetry_space_group_name_H-M 'C m m m'
_symmetry_Int_Tables_number 65
_symmetry_space_group_name_Hall '-C 2 2'
loop_
_atom_site_label
_atom_site_type_symbol
_atom_site_fract_x
_atom_site_fract_y
_atom_site_fract_z
Dy1 Dy 0.000 0.000 0.000
Tm1 Tm 0.000 0.370 0.500
Mg1 Mg 0.000 0.121 0.500
Mg2 Mg 0.000 0.246 0.000
# Magnetic moment   0.00 μB/atom
# Volume   29.6 Å³ per atom



It comes down to a, which is 0.303 eV/atom more stable than the next structure.



## a
# Dy4Tm3Mg (GGA-PBE, relaxed)
data_Dy4Tm3Mg
_chemical_formula_sum 'Dy8 Tm6 Mg2'
_cell_length_a 11.145
_cell_length_b 7.023
_cell_length_c 6.151
_cell_angle_alpha 90.00
_cell_angle_beta 90.00
_cell_angle_gamma 90.00
_symmetry_space_group_name_H-M 'P m n 21'
_symmetry_Int_Tables_number 31
loop_
_symmetry_equiv_pos_as_xyz
'x,y,z'
'-x+1/2,-y,z+1/2'
'-x,y,z'
'x+1/2,-y,z+1/2'
loop_
_atom_site_label
_atom_site_type_symbol
_atom_site_fract_x
_atom_site_fract_y
_atom_site_fract_z
Dy1 Dy 0.000 0.125 0.000
Dy2 Dy 0.000 0.874 0.479
Dy3 Dy 0.245 0.871 0.826
Tm1 Tm 0.000 0.372 0.480
Tm2 Tm 0.246 0.378 0.815
Mg1 Mg 0.000 0.619 0.988
# Magnetic moment   0.00 μB/atom
# Volume   30.1 Å³ per atom



## b
# Dy4Tm3Mg (GGA-PBE, relaxed)
data_Dy4Tm3Mg
_chemical_formula_sum 'Dy4 Tm3 Mg1'
_cell_length_a 3.526
_cell_length_b 3.526
_cell_length_c 19.272
_cell_angle_alpha 90.00
_cell_angle_beta 90.00
_cell_angle_gamma 90.00
_symmetry_space_group_name_H-M 'P 4/m m m'
_symmetry_Int_Tables_number 123
_symmetry_space_group_name_Hall '-P 4 2'
loop_
_atom_site_label
_atom_site_type_symbol
_atom_site_fract_x
_atom_site_fract_y
_atom_site_fract_z
Dy1 Dy 0.000 0.000 0.116
Dy2 Dy 0.000 0.000 0.371
Tm1 Tm 0.500 0.500 0.242
Tm2 Tm 0.500 0.500 0.500
Mg1 Mg 0.500 0.500 0.000
# Magnetic moment   0.00 μB/atom
# Volume   29.9 Å³ per atom



It comes down to b, which is 0.007 eV/atom more stable than the next structure.



## a
# Dy2Tm3Mg (GGA-PBE, relaxed)
data_Dy2Tm3Mg
_chemical_formula_sum 'Dy4 Tm6 Mg2'
_cell_length_a 3.328
_cell_length_b 6.053
_cell_length_c 18.691
_cell_angle_alpha 90.00
_cell_angle_beta 90.00
_cell_angle_gamma 90.00
_symmetry_space_group_name_H-M 'I m m m'
_symmetry_Int_Tables_number 71
_symmetry_space_group_name_Hall '-I 2 2'
loop_
_atom_site_label
_atom_site_type_symbol
_atom_site_fract_x
_atom_site_fract_y
_atom_site_fract_z
Dy1 Dy 0.000 0.000 0.154
Tm1 Tm 0.000 0.000 0.329
Tm2 Tm 0.000 0.500 0.500
Mg1 Mg 0.000 0.000 0.500
# Magnetic moment   0.00 μB/atom
# Volume   31.4 Å³ per atom



## b
# Dy2Tm3Mg (GGA-PBE, relaxed)
data_Dy2Tm3Mg
_chemical_formula_sum 'Dy8 Tm12 Mg4'
_cell_length_a 9.717
_cell_length_b 11.360
_cell_length_c 6.678
_cell_angle_alpha 90.00
_cell_angle_beta 96.16
_cell_angle_gamma 90.00
_symmetry_space_group_name_H-M 'C 1 2/c 1'
_symmetry_Int_Tables_number 15
loop_
_symmetry_equiv_pos_as_xyz
'x,y,z'
'-x,-y,-z'
'-x,y,-z+1/2'
'x,-y,z+1/2'
'x+1/2,y+1/2,z'
'-x+1/2,-y+1/2,-z'
'-x+1/2,y+1/2,-z+1/2'
'x+1/2,-y+1/2,z+1/2'
loop_
_atom_site_label
_atom_site_type_symbol
_atom_site_fract_x
_atom_site_fract_y
_atom_site_fract_z
Dy1 Dy 0.163 0.233 0.193
Tm1 Tm 0.000 0.050 0.750
Tm2 Tm 0.192 0.480 0.487
Mg1 Mg 0.000 0.322 0.750
# Magnetic moment   0.00 μB/atom
# Volume   30.5 Å³ per atom



It comes down to b, which is 0.275 eV/atom more stable than the next structure.